Below is a relaxed structure of BaNdWO6, with properties calculated at the PBE with a Hubbard U level.

Cell and atoms, written as POSCAR:
```
BaNdWO6
1.0
5.8505 0.0000 0.0000
-2.9252 5.0666 0.0000
0.0000 0.0000 5.5355
Ba Nd W O
1 1 1 6
Cartesian
0.0000 0.0000 0.0000
0.0000 3.3778 2.7677
2.9252 1.6889 2.7677
2.1946 0.2541 3.8802
1.3174 1.7736 1.6552
3.6558 0.2541 1.6552
2.0480 3.0390 3.8802
4.5331 1.7736 3.8802
3.8025 3.0390 1.6552
```

Output
The value obtained for the total magnetization is 1.1 μB/f.u. As for the total energy: -7.289 eV/atom. Its space group is No. 149.